Record 1
SnF | Alexandria via LeMat-Bulk | PBE-GGA | relaxed; E = -4.001 eV per atom; E_form (uncorrected) = -2.129 eV/f.u.; SG = F-43m; magnetization = 0.107 μB/atom
1.0
-1.780 5.491 -0.037
-2.445 -0.828 -5.163
-4.917 -1.576 2.581
F Sn
4 4
direct
0.750 0.250 0.750 F
0.250 0.250 0.250 F
0.750 0.750 0.250 F
0.250 0.750 0.750 F
0.500 0.500 0.000 Sn
0.000 0.500 0.500 Sn
0.000 0.000 0.000 Sn
0.500 0.000 0.500 Sn

Record 2
SnF6 | Alexandria via LeMat-Bulk | PBE-GGA | relaxed; E = -3.609 eV per atom; E_form (uncorrected) = -10.035 eV/f.u.; SG = Im-3m; magnetization = 0.286 μB/atom
1.0
5.578 0.000 -1.972
-2.789 4.831 -1.972
0.000 0.000 5.917
F Sn
6 1
direct
0.293 0.293 0.000 F
0.000 0.707 0.707 F
0.000 0.293 0.293 F
0.293 0.000 0.293 F
0.707 0.707 0.000 F
0.707 0.000 0.707 F
0.000 0.000 0.000 Sn